GGA-PBE Dy4Y2Sn3O2, relaxed; N(E_F) = 0.5871 states/eV/atom; E = -6.37 eV/atom; V = 270 Å³/cell; calculated density = 7.49 g/cm³; formation energy from raw total energies = -1.5280 eV/atom
1.0
-3.8006 0.0669 2.6722
-2.5657 -1.3945 -3.6142
5.1985 -11.2461 3.6354
Sn Dy Y O
3 4 2 2
Direct
0.1784 0.1784 0.3567
0.0000 0.0000 0.0000
0.8216 0.8216 0.6433
0.0834 0.5834 0.1668
0.5834 0.0834 0.1668
0.9166 0.4166 0.8332
0.4166 0.9166 0.8332
0.6941 0.6941 0.3882
0.3059 0.3059 0.6118
0.4019 0.4019 0.8039
0.5981 0.5981 0.1961